1.
Computed, not measured: a relaxed CdSbS2Cl crystal at the PBEsol level of DFT.

## Properties
D(E_F) in states/eV/cell: 0.0
Space group: No. 62
Uncorrected formation energy in eV per atom: -0.595
M_tot in μB/cell: 0.000
DFT total energy in eV per atom: -3.90

a = 3.892 Å, b = 9.421 Å, c = 12.398 Å
α = 90.00°, β = 90.00°, γ = 90.00°
Fractional coordinates of all 20 atoms:
S1 0.750 0.742 0.334
S2 0.250 0.258 0.666
Sb1 0.250 0.689 0.473
Cl1 0.750 0.426 0.896
Cd1 0.250 0.500 0.767
Sb2 0.250 0.189 0.027
Cd2 0.250 0.000 0.733
Cl2 0.750 0.926 0.604
S3 0.750 0.053 0.891
S4 0.250 0.947 0.109
S5 0.250 0.447 0.391
S6 0.250 0.758 0.834
Cl3 0.250 0.074 0.396
S7 0.750 0.553 0.609
Cl4 0.250 0.574 0.104
Cd3 0.750 0.000 0.267
Sb3 0.750 0.311 0.527
S8 0.750 0.242 0.166
Sb4 0.750 0.811 0.973
Cd4 0.750 0.500 0.233

=====

2.
Computed, not measured: a relaxed Cd2SeSCl crystal at the PBEsol level of DFT.

## Properties
D(E_F) in states/eV/cell: 1.2
Space group: No. 123
Uncorrected formation energy in eV per atom: 0.234
M_tot in μB/cell: 0.000
DFT total energy in eV per atom: -2.29

a = 4.721 Å, b = 5.209 Å, c = 5.209 Å
α = 90.00°, β = 90.00°, γ = 90.00°
Fractional coordinates of all 5 atoms:
Cd1 0.000 0.500 0.000
Cd2 0.000 0.000 0.500
Se1 0.000 0.000 0.000
S1 0.500 0.500 0.500
Cl1 0.500 0.000 0.000

=====

3.
Computed, not measured: a relaxed CdTcS2Cl crystal at the PBEsol level of DFT.

## Properties
D(E_F) in states/eV/cell: 4.2
Space group: No. 123
Uncorrected formation energy in eV per atom: -0.039
M_tot in μB/cell: 0.000
DFT total energy in eV per atom: -4.69

a = 4.529 Å, b = 4.529 Å, c = 4.913 Å
α = 90.00°, β = 90.00°, γ = 90.00°
Fractional coordinates of all 5 atoms:
S1 0.500 0.000 0.000
Cd1 0.500 0.500 0.500
S2 0.000 0.500 0.000
Tc1 0.000 0.000 0.000
Cl1 0.000 0.000 0.500

=====

4.
Computed, not measured: a relaxed Cd2Sb2Cl crystal at the PBEsol level of DFT.

## Properties
D(E_F) in states/eV/cell: 2.4
Space group: No. 139
Uncorrected formation energy in eV per atom: -0.077
M_tot in μB/cell: 0.000
DFT total energy in eV per atom: -2.78

a = 5.581 Å, b = 5.896 Å, c = 5.581 Å
α = 118.25°, β = 90.00°, γ = 118.25°
Fractional coordinates of all 5 atoms:
Cl1 0.000 0.000 0.000
Cd1 0.750 0.500 0.250
Sb1 0.338 0.676 0.338
Sb2 0.662 0.324 0.662
Cd2 0.250 0.500 0.750

=====

5.
Computed, not measured: a relaxed Cd2SbCl crystal at the PBEsol level of DFT.

## Properties
D(E_F) in states/eV/cell: 0.5
Energy relative to the lowest polymorph listed for this composition in kJ/mol of atoms: 1.2
Space group: No. 122
Uncorrected formation energy in eV per atom: -0.302
M_tot in μB/cell: 0.000
DFT total energy in eV per atom: -2.54

a = 6.308 Å, b = 6.308 Å, c = 8.195 Å
α = 112.63°, β = 112.63°, γ = 90.00°
Fractional coordinates of all 8 atoms:
Cl1 0.500 0.500 0.000
Cd1 0.625 0.641 0.750
Cl2 0.750 0.250 0.500
Sb1 0.000 0.000 0.000
Sb2 0.250 0.750 0.500
Cd2 0.359 0.875 0.250
Cd3 0.891 0.375 0.250
Cd4 0.125 0.109 0.750

=====

6.
Computed, not measured: a relaxed CdSbCl2 crystal at the PBEsol level of DFT.

## Properties
D(E_F) in states/eV/cell: 2.1
Energy relative to the lowest polymorph listed for this composition in kJ/mol of atoms: 29.9
Space group: No. 123
Uncorrected formation energy in eV per atom: -0.128
M_tot in μB/cell: 0.000
DFT total energy in eV per atom: -2.57

a = 4.339 Å, b = 4.526 Å, c = 4.526 Å
α = 90.00°, β = 90.00°, γ = 90.00°
Fractional coordinates of all 4 atoms:
Cl1 0.000 0.500 0.000
Sb1 0.500 0.500 0.500
Cl2 0.000 0.000 0.500
Cd1 0.500 0.000 0.000

=====

7.
Computed, not measured: a relaxed CdSbCl2 crystal at the PBEsol level of DFT.

## Properties
D(E_F) in states/eV/cell: 2.7
Energy relative to the lowest polymorph listed for this composition in kJ/mol of atoms: 8.6
Space group: No. 160
Uncorrected formation energy in eV per atom: -0.349
M_tot in μB/cell: 0.000
DFT total energy in eV per atom: -2.79

a = 3.677 Å, b = 3.677 Å, c = 8.916 Å
α = 78.10°, β = 78.10°, γ = 60.00°
Fractional coordinates of all 4 atoms:
Sb1 0.503 0.503 0.492
Cl1 0.762 0.762 0.715
Cd1 0.255 0.255 0.236
Cl2 0.981 0.981 0.057

=====

8.
Computed, not measured: a relaxed CdSbCl crystal at the PBEsol level of DFT.

## Properties
D(E_F) in states/eV/cell: 1.1
Energy relative to the lowest polymorph listed for this composition in kJ/mol of atoms: 0.0
Space group: No. 156
Uncorrected formation energy in eV per atom: -0.332
M_tot in μB/cell: 0.000
DFT total energy in eV per atom: -2.92

a = 3.458 Å, b = 3.458 Å, c = 7.228 Å
α = 90.00°, β = 90.00°, γ = 120.00°
Fractional coordinates of all 3 atoms:
Cd1 0.000 0.000 0.973
Cl1 0.333 0.667 0.736
Sb1 0.667 0.333 0.291

=====

9.
Computed, not measured: a relaxed Cd2SbCl crystal at the PBEsol level of DFT.

## Properties
D(E_F) in states/eV/cell: 1.2
Energy relative to the lowest polymorph listed for this composition in kJ/mol of atoms: 16.0
Space group: No. 44
Uncorrected formation energy in eV per atom: -0.149
M_tot in μB/cell: 0.000
DFT total energy in eV per atom: -2.39

a = 3.144 Å, b = 5.796 Å, c = 6.102 Å
α = 118.36°, β = 104.93°, γ = 90.00°
Fractional coordinates of all 4 atoms:
Cl1 0.470 0.470 0.940
Cd1 0.014 0.014 0.027
Sb1 0.265 0.765 0.531
Cd2 0.751 0.251 0.502

=====

10.
Computed, not measured: a relaxed CdSbCl2 crystal at the PBEsol level of DFT.

## Properties
D(E_F) in states/eV/cell: 3.1
Energy relative to the lowest polymorph listed for this composition in kJ/mol of atoms: 28.7
Space group: No. 119
Uncorrected formation energy in eV per atom: -0.141
M_tot in μB/cell: 0.002
DFT total energy in eV per atom: -2.58

a = 4.015 Å, b = 4.015 Å, c = 6.555 Å
α = 107.83°, β = 107.83°, γ = 90.00°
Fractional coordinates of all 4 atoms:
Cl1 0.750 0.250 0.500
Cl2 0.000 0.000 0.000
Sb1 0.500 0.500 0.000
Cd1 0.250 0.750 0.500

=====

11.
Computed, not measured: a relaxed CdSbCl2 crystal at the PBEsol level of DFT.

## Properties
D(E_F) in states/eV/cell: 1.2
Energy relative to the lowest polymorph listed for this composition in kJ/mol of atoms: 0.0
Space group: No. 166
Uncorrected formation energy in eV per atom: -0.438
M_tot in μB/cell: 0.000
DFT total energy in eV per atom: -2.88

a = 3.489 Å, b = 3.489 Å, c = 11.198 Å
α = 81.04°, β = 81.04°, γ = 60.00°
Fractional coordinates of all 4 atoms:
Cd1 0.000 0.000 0.000
Cl1 0.716 0.716 0.853
Sb1 0.500 0.500 0.500
Cl2 0.284 0.284 0.147

=====

12.
Computed, not measured: a relaxed Cd2SbCl crystal at the PBEsol level of DFT.

## Properties
D(E_F) in states/eV/cell: 1.2
Energy relative to the lowest polymorph listed for this composition in kJ/mol of atoms: 0.0
Space group: No. 47
Uncorrected formation energy in eV per atom: -0.315
M_tot in μB/cell: 0.000
DFT total energy in eV per atom: -2.55

a = 3.872 Å, b = 4.429 Å, c = 5.739 Å
α = 90.00°, β = 90.00°, γ = 90.00°
Fractional coordinates of all 4 atoms:
Cd1 0.000 0.000 0.500
Sb1 0.500 0.500 0.500
Cd2 0.500 0.500 0.000
Cl1 0.000 0.000 0.000

=====

13.
Computed, not measured: a relaxed CdSbCl2 crystal at the PBEsol level of DFT.

## Properties
D(E_F) in states/eV/cell: 1.2
Energy relative to the lowest polymorph listed for this composition in kJ/mol of atoms: 11.4
Space group: No. 71
Uncorrected formation energy in eV per atom: -0.320
M_tot in μB/cell: 0.000
DFT total energy in eV per atom: -2.76

a = 3.601 Å, b = 5.522 Å, c = 5.938 Å
α = 117.71°, β = 107.65°, γ = 90.00°
Fractional coordinates of all 4 atoms:
Cl1 0.205 0.205 0.411
Cl2 0.795 0.795 0.589
Cd1 0.000 0.500 0.000
Sb1 0.500 0.000 0.000

=====

14.
Computed, not measured: a relaxed CdSbCl crystal at the PBEsol level of DFT.

## Properties
D(E_F) in states/eV/cell: 4.3
Energy relative to the lowest polymorph listed for this composition in kJ/mol of atoms: 43.3
Space group: No. 216
Uncorrected formation energy in eV per atom: 0.117
M_tot in μB/cell: 0.027
DFT total energy in eV per atom: -2.47

a = 4.912 Å, b = 4.912 Å, c = 4.912 Å
α = 60.00°, β = 60.00°, γ = 60.00°
Fractional coordinates of all 3 atoms:
Cl1 0.500 0.500 0.500
Sb1 0.250 0.250 0.250
Cd1 0.000 0.000 0.000

=====

15.
Computed, not measured: a relaxed CdSbTe2Cl crystal at the PBEsol level of DFT.

## Properties
D(E_F) in states/eV/cell: 4.2
Space group: No. 123
Uncorrected formation energy in eV per atom: 0.573
M_tot in μB/cell: 0.000
DFT total energy in eV per atom: -2.39

a = 5.411 Å, b = 5.411 Å, c = 5.567 Å
α = 90.00°, β = 90.00°, γ = 90.00°
Fractional coordinates of all 5 atoms:
Te1 0.000 0.500 0.000
Sb1 0.000 0.000 0.500
Cd1 0.000 0.000 0.000
Te2 0.500 0.000 0.000
Cl1 0.500 0.500 0.500

=====

16.
Computed, not measured: a relaxed Sc2CdCl crystal at the PBEsol level of DFT.

## Properties
D(E_F) in states/eV/cell: 3.6
Energy relative to the lowest polymorph listed for this composition in kJ/mol of atoms: 5.7
Space group: No. 44
Uncorrected formation energy in eV per atom: -0.555
M_tot in μB/cell: 0.000
DFT total energy in eV per atom: -4.66

a = 3.152 Å, b = 4.765 Å, c = 6.249 Å
α = 112.41°, β = 104.61°, γ = 90.00°
Fractional coordinates of all 4 atoms:
Sc1 0.720 0.220 0.440
Cl1 0.284 0.784 0.568
Cd1 0.525 0.525 0.050
Sc2 0.971 0.971 0.942

=====

17.
Computed, not measured: a relaxed Sc2CdCl crystal at the PBEsol level of DFT.

## Properties
D(E_F) in states/eV/cell: 4.0
Energy relative to the lowest polymorph listed for this composition in kJ/mol of atoms: 4.4
Space group: No. 65
Uncorrected formation energy in eV per atom: -0.568
M_tot in μB/cell: 0.003
DFT total energy in eV per atom: -4.67

a = 3.158 Å, b = 3.158 Å, c = 8.794 Å
α = 90.00°, β = 90.00°, γ = 112.80°
Fractional coordinates of all 4 atoms:
Cl1 0.500 0.500 0.000
Sc1 0.000 0.000 0.230
Sc2 0.000 0.000 0.770
Cd1 0.500 0.500 0.500

=====

18.
Computed, not measured: a relaxed Sc2CdCl crystal at the PBEsol level of DFT.

## Properties
D(E_F) in states/eV/cell: 4.5
Energy relative to the lowest polymorph listed for this composition in kJ/mol of atoms: 23.5
Space group: No. 225
Uncorrected formation energy in eV per atom: -0.371
M_tot in μB/cell: 0.001
DFT total energy in eV per atom: -4.47

a = 4.877 Å, b = 4.877 Å, c = 4.877 Å
α = 60.00°, β = 60.00°, γ = 60.00°
Fractional coordinates of all 4 atoms:
Sc1 0.750 0.750 0.750
Sc2 0.250 0.250 0.250
Cl1 0.000 0.000 0.000
Cd1 0.500 0.500 0.500

=====

19.
Computed, not measured: a relaxed Sc2CdCl crystal at the PBEsol level of DFT.

## Properties
D(E_F) in states/eV/cell: 6.3
Energy relative to the lowest polymorph listed for this composition in kJ/mol of atoms: 0.0
Space group: No. 99
Uncorrected formation energy in eV per atom: -0.614
M_tot in μB/cell: 0.254
DFT total energy in eV per atom: -4.72

a = 3.193 Å, b = 3.193 Å, c = 9.033 Å
α = 90.00°, β = 90.00°, γ = 90.00°
Last column: magnetic moment on the atom in μB.
Fractional coordinates of all 4 atoms:
Cl1 0.500 0.500 0.820  0.00
Sc1 0.000 0.000 0.981  0.08
Cd1 0.000 0.000 0.462  0.01
Sc2 0.500 0.500 0.237  0.07

=====

20.
Computed, not measured: a relaxed CdSe2Cl crystal at the PBEsol level of DFT.

## Properties
D(E_F) in states/eV/cell: 2.6
Energy relative to the lowest polymorph listed for this composition in kJ/mol of atoms: 36.4
Space group: No. 166
Uncorrected formation energy in eV per atom: 0.264
M_tot in μB/cell: 0.000
DFT total energy in eV per atom: -2.46

a = 3.010 Å, b = 3.010 Å, c = 10.630 Å
α = 81.86°, β = 81.86°, γ = 60.00°
Fractional coordinates of all 4 atoms:
Se1 0.917 0.917 0.248
Se2 0.083 0.083 0.752
Cd1 0.000 0.000 0.000
Cl1 0.500 0.500 0.500